No. 1
RbReAgO3 | PBE | optimized geometry

Unit cell a=10.650 b=3.157 c=12.337 alpha=90.00 beta=90.00 gamma=90.00
Site moments in Bohr magnetons follow the coordinates.
Atoms (fractional coordinates):
Ag  0.404  0.000  0.030  0.00
Ag  0.904  0.500  0.470  0.00
Ag  0.096  0.000  0.530  0.00
Ag  0.596  0.500  0.970  0.00
O  0.193  0.000  0.044  0.00
O  0.985  0.500  0.080  0.00
O  0.790  0.000  0.167  0.02
O  0.290  0.500  0.333  0.01
O  0.485  0.000  0.420  0.00
O  0.693  0.500  0.456  0.00
O  0.307  0.000  0.544  0.00
O  0.515  0.500  0.580  0.00
O  0.710  0.000  0.667  0.01
O  0.210  0.500  0.833  0.02
O  0.015  0.000  0.920  0.00
O  0.807  0.500  0.956  0.00
Rb  0.593  0.500  0.247  0.00
Rb  0.093  0.000  0.253  0.00
Rb  0.907  0.500  0.747  0.00
Rb  0.407  0.000  0.753  0.00
Re  0.871  0.000  0.042  0.08
Re  0.371  0.500  0.458  0.07
Re  0.629  0.000  0.542  0.07
Re  0.129  0.500  0.958  0.08

## Properties
- energy (Ry per atom) = -0.4608

No. 2
Hg2O | PBE | optimized geometry

Unit cell a=5.605 b=5.605 c=3.870 alpha=90.00 beta=90.00 gamma=90.00
Atoms (fractional coordinates):
Hg  0.298  0.298  0.000
Hg  0.702  0.702  0.000
Hg  0.798  0.202  0.500
Hg  0.202  0.798  0.500
O  0.000  0.000  0.000
O  0.500  0.500  0.500

## Properties
- energy (Ry per atom) = -0.1277
- offset from the most stable computed form (meV/atom) = 0

No. 3
Y4TlCuN2 | PBE | optimized geometry

Unit cell a=3.527 b=3.527 c=14.906 alpha=90.00 beta=90.00 gamma=120.00
Atoms (fractional coordinates):
Cu  0.000  0.000  0.500
N  0.667  0.333  0.260
N  0.667  0.333  0.740
Tl  0.333  0.667  0.000
Y  0.000  0.000  0.177
Y  0.333  0.667  0.360
Y  0.333  0.667  0.640
Y  0.000  0.000  0.823

## Properties
- energy (Ry per atom) = -0.5124

No. 4
LiCuCl2 | PBE | optimized geometry

Unit cell a=6.663 b=6.663 c=6.663 alpha=132.16 beta=132.16 gamma=69.98
Atoms (fractional coordinates):
Cl  0.375  0.881  0.006
Cl  0.119  0.125  0.494
Cl  0.631  0.625  0.506
Cl  0.875  0.369  0.994
Cu  0.000  0.000  0.000
Cu  0.750  0.250  0.500
Li  0.500  0.500  0.000
Li  0.250  0.750  0.500

## Properties
- energy (Ry per atom) = -0.2527

No. 5
Zr3Fe4Si2Ge2 | PBE | optimized geometry

Unit cell a=7.513 b=7.513 c=7.513 alpha=150.25 beta=127.95 gamma=61.11
Site moments in Bohr magnetons follow the coordinates.
Atoms (fractional coordinates):
Fe  0.374  0.181  0.193  1.51
Fe  0.012  0.819  0.193  1.51
Fe  0.988  0.181  0.807  1.51
Fe  0.626  0.819  0.807  1.51
Ge  0.299  0.000  0.299  -0.01
Ge  0.701  0.000  0.701  -0.01
Si  0.783  0.283  0.500  -0.04
Si  0.217  0.717  0.500  -0.04
Zr  0.372  0.372  0.000  -0.15
Zr  0.628  0.628  0.000  -0.15
Zr  0.000  0.500  0.500  -0.03

## Properties
- energy (Ry per atom) = -0.5743

No. 6
Er2Co | PBE | optimized geometry

Unit cell a=5.906 b=5.906 c=5.906 alpha=60.00 beta=60.00 gamma=60.00
Atoms (fractional coordinates):
Co  0.000  0.000  0.000
Co  0.250  0.250  0.250
Er  0.625  0.625  0.125
Er  0.625  0.125  0.625
Er  0.125  0.625  0.625
Er  0.625  0.625  0.625

## Properties
- energy (Ry per atom) = -0.3154

No. 7
BaZnIn2Pt | PBE | optimized geometry

Unit cell a=4.775 b=4.775 c=11.333 alpha=90.00 beta=90.00 gamma=90.00
Atoms (fractional coordinates):
Ba  0.000  0.500  0.250
Ba  0.500  0.000  0.750
In  0.500  0.000  0.133
In  0.000  0.000  0.500
In  0.500  0.500  0.500
In  0.000  0.500  0.867
Pt  0.500  0.000  0.375
Pt  0.000  0.500  0.625
Zn  0.000  0.000  0.000
Zn  0.500  0.500  0.000

## Properties
- energy (Ry per atom) = -0.2534

No. 8
GdBePt | PBE | optimized geometry

Unit cell a=4.313 b=4.313 c=4.313 alpha=60.00 beta=60.00 gamma=60.00
Atoms (fractional coordinates):
Be  0.000  0.000  0.000
Gd  0.250  0.250  0.250
Pt  0.750  0.750  0.750

## Properties
- energy (Ry per atom) = -0.3827
- offset from the most stable computed form (meV/atom) = 23

No. 9
Ac4TlOs | PBE | optimized geometry

Unit cell a=6.716 b=7.510 c=8.753 alpha=90.00 beta=95.38 gamma=90.00
Atoms (fractional coordinates):
Ac  0.602  0.250  0.082
Ac  0.107  0.004  0.215
Ac  0.107  0.496  0.215
Ac  0.653  0.750  0.365
Ac  0.347  0.250  0.635
Ac  0.893  0.504  0.785
Ac  0.893  0.996  0.785
Ac  0.398  0.750  0.918
Os  0.814  0.750  0.057
Os  0.186  0.250  0.943
Tl  0.792  0.250  0.450
Tl  0.208  0.750  0.550

## Properties
- energy (Ry per atom) = -0.3786

No. 10
Gd2Pd2I | PBE | optimized geometry

Unit cell a=4.393 b=4.393 c=8.194 alpha=90.00 beta=90.00 gamma=120.00
Atoms (fractional coordinates):
Gd  0.000  0.000  0.289
Gd  0.000  0.000  0.711
I  0.667  0.333  0.000
Pd  0.667  0.333  0.500
Pd  0.333  0.667  0.500

## Properties
- energy (Ry per atom) = -0.3702

No. 11
AcPaO4 | PBE | optimized geometry

Unit cell a=6.892 b=6.892 c=6.892 alpha=33.68 beta=33.68 gamma=33.68
Atoms (fractional coordinates):
Ac  0.500  0.500  0.500
O  0.113  0.113  0.113
O  0.364  0.364  0.364
O  0.636  0.636  0.636
O  0.887  0.887  0.887
Pa  0.000  0.000  0.000

## Properties
- energy (Ry per atom) = -0.6519

No. 12
NbTl2AgCl6 | PBE | optimized geometry

Unit cell a=7.348 b=7.348 c=7.348 alpha=121.98 beta=121.98 gamma=86.61
Site moments in Bohr magnetons follow the coordinates.
Atoms (fractional coordinates):
Ag  0.000  0.000  0.000  0.01
Cl  0.266  0.266  0.000  -0.01
Cl  0.734  0.734  0.000  -0.01
Cl  0.324  0.803  0.127  0.00
Cl  0.803  0.676  0.479  0.00
Cl  0.197  0.324  0.521  0.00
Cl  0.676  0.197  0.873  0.00
Nb  0.500  0.500  0.000  1.61
Tl  0.750  0.250  0.500  0.01
Tl  0.250  0.750  0.500  0.01

## Properties
- energy (Ry per atom) = -0.2799

No. 13
LaMgCoSn | PBE | optimized geometry

Unit cell a=4.871 b=4.871 c=4.871 alpha=60.00 beta=60.00 gamma=60.00
Atoms (fractional coordinates):
Co  0.250  0.250  0.250
La  0.500  0.500  0.500
Mg  0.750  0.750  0.750
Sn  0.000  0.000  0.000

## Properties
- energy (Ry per atom) = -0.3363
- offset from the most stable computed form (meV/atom) = 0

No. 14
Gd2YS3 | PBE | optimized geometry

Unit cell a=3.932 b=3.932 c=9.651 alpha=90.00 beta=90.00 gamma=120.00
Atoms (fractional coordinates):
Gd  0.667  0.333  0.334
Gd  0.333  0.667  0.666
S  0.333  0.667  0.164
S  0.000  0.000  0.500
S  0.667  0.333  0.836
Y  0.000  0.000  0.000

## Properties
- energy (Ry per atom) = -0.4930

No. 15
Tb3In5S12 | PBE | optimized geometry

Unit cell a=10.998 b=3.915 c=21.412 alpha=90.00 beta=96.01 gamma=90.00
Atoms (fractional coordinates):
In  0.259  0.750  0.059
In  0.664  0.750  0.113
In  0.043  0.250  0.174
In  0.147  0.750  0.333
In  0.849  0.750  0.472
In  0.151  0.250  0.528
In  0.853  0.250  0.667
In  0.957  0.750  0.826
In  0.336  0.250  0.887
In  0.741  0.250  0.941
S  0.631  0.250  0.037
S  0.117  0.250  0.061
S  0.438  0.750  0.141
S  0.889  0.750  0.159
S  0.662  0.250  0.211
S  0.208  0.750  0.217
S  0.984  0.250  0.290
S  0.535  0.750  0.316
S  0.298  0.250  0.349
S  0.777  0.250  0.387
S  0.079  0.750  0.448
S  0.623  0.750  0.491
S  0.377  0.250  0.509
S  0.921  0.250  0.552
S  0.223  0.750  0.613
S  0.702  0.750  0.651
S  0.465  0.250  0.684
S  0.016  0.750  0.710
S  0.792  0.250  0.783
S  0.338  0.750  0.789
S  0.111  0.250  0.841
S  0.562  0.250  0.859
S  0.883  0.750  0.939
S  0.369  0.750  0.963
Tb  0.413  0.250  0.235
Tb  0.785  0.750  0.285
Tb  0.528  0.250  0.412
Tb  0.472  0.750  0.588
Tb  0.215  0.250  0.715
Tb  0.587  0.750  0.765

## Properties
- energy (Ry per atom) = -0.3654

No. 16
DyPtNO | PBE | optimized geometry

Unit cell a=4.185 b=4.185 c=6.924 alpha=90.00 beta=90.00 gamma=90.00
Atoms (fractional coordinates):
Dy  0.000  0.500  0.134
Dy  0.500  0.000  0.866
N  0.000  0.500  0.464
N  0.500  0.000  0.536
O  0.000  0.000  0.000
O  0.500  0.500  0.000
Pt  0.000  0.000  0.500
Pt  0.500  0.500  0.500

## Properties
- energy (Ry per atom) = -0.5380
- offset from the most stable computed form (meV/atom) = 0

No. 17
TePd14 | PBE | optimized geometry

Unit cell a=11.612 b=2.803 c=27.277 alpha=90.00 beta=90.23 gamma=90.00
Atoms (fractional coordinates):
Pd  0.807  0.250  0.010
Pd  0.416  0.750  0.025
Pd  0.029  0.250  0.043
Pd  0.640  0.750  0.060
Pd  0.249  0.250  0.077
Pd  0.863  0.750  0.095
Pd  0.473  0.250  0.111
Pd  0.083  0.750  0.130
Pd  0.693  0.250  0.146
Pd  0.306  0.750  0.162
Pd  0.921  0.250  0.183
Pd  0.530  0.750  0.201
Pd  0.138  0.250  0.217
Pd  0.753  0.750  0.229
Pd  0.247  0.250  0.771
Pd  0.862  0.750  0.783
Pd  0.470  0.250  0.799
Pd  0.079  0.750  0.817
Pd  0.694  0.250  0.838
Pd  0.307  0.750  0.854
Pd  0.917  0.250  0.870
Pd  0.527  0.750  0.889
Pd  0.137  0.250  0.905
Pd  0.751  0.750  0.923
Pd  0.360  0.250  0.940
Pd  0.971  0.750  0.957
Pd  0.584  0.250  0.975
Pd  0.193  0.750  0.990
Te  0.356  0.250  0.247
Te  0.644  0.750  0.753

## Properties
- energy (Ry per atom) = -0.3625
- offset from the most stable computed form (meV/atom) = 167

No. 18
LiPuFe | PBE | optimized geometry

Unit cell a=4.226 b=4.226 c=4.226 alpha=60.00 beta=60.00 gamma=60.00
Site moments in Bohr magnetons follow the coordinates.
Atoms (fractional coordinates):
Fe  0.000  0.000  0.000  -1.43
Li  0.750  0.750  0.750  0.10
Pu  0.250  0.250  0.250  5.37

## Properties
- energy (Ry per atom) = -0.5674
- offset from the most stable computed form (meV/atom) = 0

No. 19
KHfCuSe3 | PBE | optimized geometry

Unit cell a=8.317 b=3.888 c=10.075 alpha=90.00 beta=112.44 gamma=90.00
Atoms (fractional coordinates):
Cu  0.082  0.250  0.100
Cu  0.918  0.750  0.900
Hf  0.306  0.750  0.334
Hf  0.694  0.250  0.666
K  0.738  0.750  0.206
K  0.262  0.250  0.794
Se  0.243  0.750  0.058
Se  0.090  0.250  0.345
Se  0.550  0.250  0.370
Se  0.450  0.750  0.630
Se  0.910  0.750  0.655
Se  0.757  0.250  0.942

## Properties
- energy (Ry per atom) = -0.3916

No. 20
Nb2Ge | PBE | optimized geometry

Unit cell a=5.432 b=5.432 c=5.432 alpha=60.00 beta=60.00 gamma=60.00
Atoms (fractional coordinates):
Ge  0.000  0.000  0.000
Ge  0.250  0.250  0.250
Nb  0.625  0.625  0.125
Nb  0.625  0.125  0.625
Nb  0.125  0.625  0.625
Nb  0.625  0.625  0.625

## Properties
- energy (Ry per atom) = -0.5818

No. 21
RbReSn | PBE | optimized geometry

Unit cell a=4.824 b=4.824 c=4.824 alpha=60.00 beta=60.00 gamma=60.00
Atoms (fractional coordinates):
Rb  0.250  0.250  0.250
Re  0.000  0.000  0.000
Sn  0.750  0.750  0.750

## Properties
- energy (Ry per atom) = -0.3089
- offset from the most stable computed form (meV/atom) = 0

No. 22
NbCoB4 | PBE | optimized geometry

Unit cell a=3.096 b=3.096 c=5.958 alpha=90.00 beta=90.00 gamma=120.00
Atoms (fractional coordinates):
B  0.667  0.333  0.224
B  0.333  0.667  0.224
B  0.667  0.333  0.776
B  0.333  0.667  0.776
Co  0.000  0.000  0.000
Nb  0.000  0.000  0.500

## Properties
- energy (Ry per atom) = -0.5671
- offset from the most stable computed form (meV/atom) = 0